[1]
# PmHoAg, relaxed, DFT PBE
# total moment: 0.0 μB/f.u.
# distance to the lowest polymorph of the same formula: 0.008 eV per atom
# raw total energy: -0.155 Ha/atom
# formation enthalpy at 0 K: -0.17 eV per atom
data_PmHoAg
_cell_length_a 3.6150
_cell_length_b 3.6150
_cell_length_c 12.7997
_cell_angle_alpha 90.00
_cell_angle_beta 90.00
_cell_angle_gamma 90.00
_symmetry_space_group_name_H-M 'I 4 m m'
_symmetry_Int_Tables_number 107
_symmetry_space_group_name_Hall 'I 4 -2'
loop_
_atom_site_label
_atom_site_type_symbol
_atom_site_fract_x
_atom_site_fract_y
_atom_site_fract_z
_atom_site_occupancy
Pm1 Pm 0.0000 0.0000 0.0000 1
Ho1 Ho 0.0000 0.0000 0.2969 1
Ag1 Ag 0.0000 0.0000 0.6603 1

***

[2]
# PmHo4Ag4, relaxed, DFT PBE
# total moment: 0.0 μB/f.u.
# raw total energy: -0.142 Ha/atom
# formation enthalpy at 0 K: -0.03 eV per atom
data_PmHo4Ag4
_cell_length_a 9.3843
_cell_length_b 9.3843
_cell_length_c 5.9429
_cell_angle_alpha 90.00
_cell_angle_beta 90.00
_cell_angle_gamma 90.00
_symmetry_space_group_name_H-M 'P 42/n'
_symmetry_Int_Tables_number 86
loop_
_symmetry_equiv_pos_as_xyz
'x,y,z'
'-x,-y,-z'
'-y,x+1/2,z+1/2'
'y,-x+1/2,-z+1/2'
'-x+1/2,-y+1/2,z'
'x+1/2,y+1/2,-z'
'y+1/2,-x,z+1/2'
'-y+1/2,x,-z+1/2'
loop_
_atom_site_label
_atom_site_type_symbol
_atom_site_fract_x
_atom_site_fract_y
_atom_site_fract_z
_atom_site_occupancy
Pm1 Pm 0.2500 0.2500 0.2500 1
Ho1 Ho 0.0836 0.6541 0.1510 1
Ag1 Ag 0.0339 0.6146 0.6464 1

***

[3]
# PmHoAg2, relaxed, DFT PBE
# total moment: 0.0 μB/f.u.
# distance to the lowest polymorph of the same formula: 0.000 eV per atom
# raw total energy: -0.149 Ha/atom
# formation enthalpy at 0 K: -0.30 eV per atom
data_PmHoAg2
_cell_length_a 3.6352
_cell_length_b 3.6352
_cell_length_c 7.4985
_cell_angle_alpha 90.00
_cell_angle_beta 90.00
_cell_angle_gamma 90.00
_symmetry_space_group_name_H-M 'P 4/m m m'
_symmetry_Int_Tables_number 123
_symmetry_space_group_name_Hall '-P 4 2'
loop_
_atom_site_label
_atom_site_type_symbol
_atom_site_fract_x
_atom_site_fract_y
_atom_site_fract_z
_atom_site_occupancy
Pm1 Pm 0.0000 0.0000 0.0000 1
Ho1 Ho 0.0000 0.0000 0.5000 1
Ag1 Ag 0.5000 0.5000 0.2679 1

***

[4]
# Pm3HoAg7, relaxed, DFT PBE
# total moment: 0.0 μB/f.u.
# raw total energy: -0.135 Ha/atom
# formation enthalpy at 0 K: -0.16 eV per atom
data_Pm3HoAg7
_cell_length_a 3.7658
_cell_length_b 21.0824
_cell_length_c 13.8432
_cell_angle_alpha 90.00
_cell_angle_beta 90.00
_cell_angle_gamma 90.00
_symmetry_space_group_name_H-M 'C m c m'
_symmetry_Int_Tables_number 63
_symmetry_space_group_name_Hall '-C 2c 2'
loop_
_atom_site_label
_atom_site_type_symbol
_atom_site_fract_x
_atom_site_fract_y
_atom_site_fract_z
_atom_site_occupancy
Pm1 Pm 0.0000 0.1271 0.0370 1
Pm2 Pm 0.0000 0.2216 0.7500 1
Ho1 Ho 0.0000 0.0076 0.7500 1
Ag1 Ag 0.0000 0.2712 0.0677 1
Ag2 Ag 0.0000 0.3859 0.7500 1
Ag3 Ag 0.0000 0.3906 0.1494 1
Ag4 Ag 0.0000 0.4816 0.5916 1

***

[5]
# PmHo2Ag3, relaxed, DFT PBE
# total moment: 0.0 μB/f.u.
# raw total energy: -0.149 Ha/atom
# formation enthalpy at 0 K: -0.31 eV per atom
data_PmHo2Ag3
_cell_length_a 3.6302
_cell_length_b 3.6302
_cell_length_c 11.1108
_cell_angle_alpha 90.00
_cell_angle_beta 90.00
_cell_angle_gamma 90.00
_symmetry_space_group_name_H-M 'P 4/m m m'
_symmetry_Int_Tables_number 123
_symmetry_space_group_name_Hall '-P 4 2'
loop_
_atom_site_label
_atom_site_type_symbol
_atom_site_fract_x
_atom_site_fract_y
_atom_site_fract_z
_atom_site_occupancy
Pm1 Pm 0.0000 0.0000 0.0000 1
Ho1 Ho 0.0000 0.0000 0.3372 1
Ag1 Ag 0.5000 0.5000 0.1792 1
Ag2 Ag 0.5000 0.5000 0.5000 1

***

[6]
# Pm2HoAg, relaxed, DFT PBE
# total moment: 0.0 μB/f.u.
# distance to the lowest polymorph of the same formula: 0.020 eV per atom
# raw total energy: -0.159 Ha/atom
# formation enthalpy at 0 K: -0.10 eV per atom
data_Pm2HoAg
_cell_length_a 3.6608
_cell_length_b 3.6608
_cell_length_c 8.8380
_cell_angle_alpha 90.00
_cell_angle_beta 90.00
_cell_angle_gamma 90.00
_symmetry_space_group_name_H-M 'P 4/m m m'
_symmetry_Int_Tables_number 123
_symmetry_space_group_name_Hall '-P 4 2'
loop_
_atom_site_label
_atom_site_type_symbol
_atom_site_fract_x
_atom_site_fract_y
_atom_site_fract_z
_atom_site_occupancy
Pm1 Pm 0.0000 0.0000 0.2190 1
Ho1 Ho 0.5000 0.5000 0.5000 1
Ag1 Ag 0.5000 0.5000 0.0000 1

***

[7]
# PmHoAg2, relaxed, DFT PBE
# total moment: 0.0 μB/f.u.
# distance to the lowest polymorph of the same formula: 0.013 eV per atom
# raw total energy: -0.149 Ha/atom
# formation enthalpy at 0 K: -0.29 eV per atom
data_PmHoAg2
_cell_length_a 7.3610
_cell_length_b 7.3610
_cell_length_c 7.3610
_cell_angle_alpha 90.00
_cell_angle_beta 90.00
_cell_angle_gamma 90.00
_symmetry_space_group_name_H-M 'F m -3 m'
_symmetry_Int_Tables_number 225
_symmetry_space_group_name_Hall '-F 4 2 3'
loop_
_atom_site_label
_atom_site_type_symbol
_atom_site_fract_x
_atom_site_fract_y
_atom_site_fract_z
_atom_site_occupancy
Pm1 Pm 0.0000 0.0000 0.0000 1
Ho1 Ho 0.0000 0.0000 0.5000 1
Ag1 Ag 0.2500 0.2500 0.2500 1

***

[8]
# Pm2HoAg4, relaxed, DFT PBE
# total moment: 0.0 μB/f.u.
# raw total energy: -0.138 Ha/atom
# formation enthalpy at 0 K: -0.11 eV per atom
data_Pm2HoAg4
_cell_length_a 5.3616
_cell_length_b 5.3616
_cell_length_c 12.8683
_cell_angle_alpha 90.00
_cell_angle_beta 90.00
_cell_angle_gamma 90.00
_symmetry_space_group_name_H-M 'I 4/m m m'
_symmetry_Int_Tables_number 139
_symmetry_space_group_name_Hall '-I 4 2'
loop_
_atom_site_label
_atom_site_type_symbol
_atom_site_fract_x
_atom_site_fract_y
_atom_site_fract_z
_atom_site_occupancy
Pm1 Pm 0.0000 0.0000 0.2212 1
Ho1 Ho 0.0000 0.0000 0.5000 1
Ag1 Ag 0.0000 0.5000 0.1149 1

***

[9]
# Pm4HoAg, relaxed, DFT PBE
# total moment: 0.0 μB/f.u.
# distance to the lowest polymorph of the same formula: 0.108 eV per atom
# raw total energy: -0.160 Ha/atom
# formation enthalpy at 0 K: 0.04 eV per atom
data_Pm4HoAg
_cell_length_a 5.5207
_cell_length_b 21.0907
_cell_length_c 6.5157
_cell_angle_alpha 90.00
_cell_angle_beta 90.00
_cell_angle_gamma 90.00
_symmetry_space_group_name_H-M 'C m c 21'
_symmetry_Int_Tables_number 36
_symmetry_space_group_name_Hall 'C 2c -2'
loop_
_atom_site_label
_atom_site_type_symbol
_atom_site_fract_x
_atom_site_fract_y
_atom_site_fract_z
_atom_site_occupancy
Pm1 Pm 0.0000 0.0342 0.0000 1
Pm2 Pm 0.0000 0.1767 0.8142 1
Pm3 Pm 0.0000 0.2473 0.2836 1
Pm4 Pm 0.0000 0.4358 0.1698 1
Ho1 Ho 0.0000 0.3670 0.6703 1
Ag1 Ag 0.0000 0.1067 0.4051 1

***

[10]
# Pm2HoAg, relaxed, DFT PBE
# total moment: 0.0 μB/f.u.
# distance to the lowest polymorph of the same formula: 0.180 eV per atom
# raw total energy: -0.153 Ha/atom
# formation enthalpy at 0 K: 0.06 eV per atom
data_Pm2HoAg
_cell_length_a 7.7195
_cell_length_b 7.7195
_cell_length_c 7.7195
_cell_angle_alpha 90.00
_cell_angle_beta 90.00
_cell_angle_gamma 90.00
_symmetry_space_group_name_H-M 'F m -3 m'
_symmetry_Int_Tables_number 225
_symmetry_space_group_name_Hall '-F 4 2 3'
loop_
_atom_site_label
_atom_site_type_symbol
_atom_site_fract_x
_atom_site_fract_y
_atom_site_fract_z
_atom_site_occupancy
Pm1 Pm 0.2500 0.2500 0.2500 1
Ho1 Ho 0.0000 0.0000 0.0000 1
Ag1 Ag 0.0000 0.0000 0.5000 1

***

[11]
# Pm2HoAg, relaxed, DFT PBE
# total moment: 0.0 μB/f.u.
# distance to the lowest polymorph of the same formula: 0.374 eV per atom
# raw total energy: -0.146 Ha/atom
# formation enthalpy at 0 K: 0.25 eV per atom
data_Pm2HoAg
_cell_length_a 3.4774
_cell_length_b 3.4774
_cell_length_c 35.4986
_cell_angle_alpha 90.00
_cell_angle_beta 90.00
_cell_angle_gamma 120.00
_symmetry_space_group_name_H-M 'R -3 m'
_symmetry_Int_Tables_number 166
_symmetry_space_group_name_Hall '-R 3 2"'
loop_
_atom_site_label
_atom_site_type_symbol
_atom_site_fract_x
_atom_site_fract_y
_atom_site_fract_z
_atom_site_occupancy
Pm1 Pm 0.0000 0.0000 0.0854 1
Ho1 Ho 0.0000 0.0000 0.5000 1
Ag1 Ag 0.0000 0.0000 0.0000 1

***

[12]
# PmHo3Ag2, relaxed, DFT PBE
# total moment: 0.0 μB/f.u.
# raw total energy: -0.156 Ha/atom
# formation enthalpy at 0 K: -0.20 eV per atom
data_PmHo3Ag2
_cell_length_a 3.6177
_cell_length_b 3.6177
_cell_length_c 12.3176
_cell_angle_alpha 90.00
_cell_angle_beta 90.00
_cell_angle_gamma 90.00
_symmetry_space_group_name_H-M 'P 4/m m m'
_symmetry_Int_Tables_number 123
_symmetry_space_group_name_Hall '-P 4 2'
loop_
_atom_site_label
_atom_site_type_symbol
_atom_site_fract_x
_atom_site_fract_y
_atom_site_fract_z
_atom_site_occupancy
Pm1 Pm 0.0000 0.0000 0.0000 1
Ho1 Ho 0.5000 0.5000 0.2063 1
Ho2 Ho 0.5000 0.5000 0.5000 1
Ag1 Ag 0.0000 0.0000 0.3521 1